A geometry-optimized GePIrN2 structure, computed with PBE.

The structure in extended XYZ format:
```
5
Lattice="2.8861 0.0028 0.0057 -1.3075 4.8850 0.0095 -0.1213 -2.6234 4.5525" Properties=species:S:1:pos:R:3 pbc="T T T"
Ge 1.0328 1.2963 0.7883
P 2.3344 -1.1960 2.9798
Ir 1.0240 0.6310 3.2483
N 2.3429 -2.3316 4.2082
N -0.4383 3.6118 2.0670
```

Values from the calculation:
Energy relative to the lowest polymorph listed for this composition in eV per atom: 0.5129
DOS at the Fermi energy in states/eV per cell: 0.766
Space group: No. 1
Formation energy without anion corrections in eV per atom: 0.312
E_tot in hartree per atom: -0.250

=====

A geometry-optimized GePIrN2 structure, computed with PBE.

The structure in extended XYZ format:
```
10
Lattice="6.1089 0.0000 0.0163 0.0000 2.9318 0.0000 -1.1482 0.0000 6.4597" Properties=species:S:1:pos:R:3 pbc="T T T"
Ge 4.6531 0.0000 5.7122
Ge 5.2272 1.4659 2.4823
P 2.3417 0.0000 2.3691
P 1.7676 1.4659 5.5990
Ir 0.5669 0.0000 4.1019
Ir 1.1410 1.4659 0.8720
N 3.9684 0.0000 0.1575
N 3.3943 1.4659 3.3874
N 3.9722 0.0000 1.4657
N 3.3981 1.4659 4.6956
```

Values from the calculation:
Energy relative to the lowest polymorph listed for this composition in eV per atom: 0.4530
DOS at the Fermi energy in states/eV per cell: 1.482
Space group: No. 8
Formation energy without anion corrections in eV per atom: 0.252
E_tot in hartree per atom: -0.252

=====

A geometry-optimized GePIrN2 structure, computed with PBE.

The structure in extended XYZ format:
```
5
Lattice="2.8546 0.0000 0.0001 -0.4552 3.8475 -0.0001 -0.5980 -1.4869 5.8348" Properties=species:S:1:pos:R:3 pbc="T T T"
Ge 0.7175 0.6436 0.1803
P 2.2029 -0.2468 2.8900
Ir 0.2730 1.0580 4.5356
N 2.1567 0.4052 1.3936
N 0.3406 2.6668 3.0320
```

Values from the calculation:
Energy relative to the lowest polymorph listed for this composition in eV per atom: 0.2432
DOS at the Fermi energy in states/eV per cell: 0.482
Space group: No. 1
Formation energy without anion corrections in eV per atom: 0.042
E_tot in hartree per atom: -0.260